The following is a DFT calculation (PBE-GGA) of a geometry-optimized RbZrSe2O8 structure.

## Properties
Total DFT energy (no corrections) ... -6.0356 eV/atom
Magnetization ... 0.00 μB/cell
Symmetry ... P-1 (2)
Volume ... 16.00 Å³/atom

Cell: 5.1522 5.2573 8.3379 Å, 72.45 75.49 64.23°
Fractional coordinates of all 12 atoms:
1 Se 0.1920 0.2255 0.2881
2 Se 0.8080 0.7745 0.7119
3 O 0.2871 0.2710 0.4621
4 O 0.1812 0.5991 0.7162
5 O 0.6393 0.6766 0.9015
6 O 0.8188 0.4009 0.2838
7 O 0.3607 0.3234 0.0985
8 O 0.7446 0.1397 0.6736
9 O 0.7129 0.7290 0.5379
10 O 0.2554 0.8603 0.3264
11 Zr 0.5000 0.5000 0.5000
12 Rb 0.0000 0.0000 0.0000